Computed, not measured: a relaxed Gd3Mg3AlZn2 crystal at the PBE level of DFT.

Output
E_tot = -27.27 eV per cell

Unit cell a=7.285 b=7.285 c=4.590 alpha=90.00 beta=90.00 gamma=120.00
Positions (direct):
1 Al 0.000 0.000 0.000
2 Gd 0.571 0.000 0.000
3 Gd 0.429 0.429 0.000
4 Mg 0.000 0.243 0.500
5 Gd 0.000 0.571 0.000
6 Mg 0.243 0.000 0.500
7 Zn 0.333 0.667 0.500
8 Mg 0.757 0.757 0.500
9 Zn 0.667 0.333 0.500

Computed, not measured: a relaxed GdAl4Mo2 crystal at the PBE level of DFT.

Output
E_tot = -43.97 eV per cell

Unit cell a=5.479 b=5.479 c=5.479 alpha=103.89 beta=103.89 gamma=121.32
Positions (direct):
1 Al 0.694 0.694 0.389
2 Mo 0.750 0.250 0.500
3 Al 0.306 0.694 0.000
4 Gd 0.000 0.000 0.000
5 Al 0.694 0.306 0.000
6 Mo 0.250 0.750 0.500
7 Al 0.306 0.306 0.611

Computed, not measured: a relaxed GdAlMo crystal at the PBE level of DFT.

Output
E_tot = -17.34 eV per cell

Unit cell a=4.607 b=4.607 c=4.607 alpha=60.00 beta=60.00 gamma=60.00
Positions (direct):
1 Mo 0.000 0.000 0.000
2 Al 0.250 0.250 0.250
3 Gd 0.750 0.750 0.750

Computed, not measured: a relaxed GdAlNO crystal at the PBE level of DFT.

Output
E_tot = -55.52 eV per cell
energy above the most stable polymorph in this dataset = 0.4130 eV/atom

Unit cell a=4.556 b=4.556 c=5.143 alpha=90.00 beta=90.00 gamma=90.00
Positions (direct):
1 Gd 0.500 0.500 0.500
2 O 0.500 0.500 0.000
3 Gd 0.000 0.000 0.500
4 Al 0.500 0.000 0.031
5 O 0.000 0.000 0.000
6 Al 0.000 0.500 0.969
7 N 0.500 0.000 0.387
8 N 0.000 0.500 0.613